DFT (PBE-GGA) results for a relaxed structure of Rb2TmGe2S6.

```
Rb2TmGe2S6
1.0
5.5766 -3.6074 0.0000
5.5766 3.6074 0.0000
-2.6049 0.0000 8.1621
Rb Tm Ge S
2 1 2 6
direct
0.1905 0.1905 0.1269
0.8095 0.8095 0.8731
0.0000 0.0000 0.5000
0.4586 0.4586 0.6232
0.5414 0.5414 0.3768
0.2040 0.7210 0.2444
0.2493 0.2493 0.5293
0.2790 0.7960 0.7556
0.7210 0.2040 0.2444
0.7507 0.7507 0.4707
0.7960 0.2790 0.7556
```

- formation energy without anion corrections (kcal/mol of atoms) = -21.005
- VASP energy (eV/atom) = -4.584
- total moment (Bohr magnetons per cell) = 0.54
- symmetry = No. 12

---

DFT (PBE-GGA) results for a relaxed structure of SrErAs2.

```
SrErAs2
1.0
2.1085 1.2173 7.1910
-2.1085 1.2173 7.1910
0.0000 -2.4346 7.1910
Sr Er As
1 1 2
direct
0.0000 0.0000 0.0000
0.5000 0.5000 0.5000
0.2401 0.2401 0.2401
0.7599 0.7599 0.7599
```

- formation energy (eV per atom) = -1.17
- ΔE to the lowest computed polymorph (eV/atom) = 0.000
- VASP energy (eV/atom) = -5.059
- total moment (Bohr magnetons per cell) = 0.00
- symmetry = No. 166

---

DFT (PBE-GGA) results for a relaxed structure of BeIn2Ru.

```
BeIn2Ru
1.0
5.0871 -1.5523 0.0000
5.0871 1.5523 0.0000
-1.5560 0.0000 4.3466
Be In Ru
1 2 1
direct
0.0000 0.0000 0.0000
0.5742 0.5742 0.5846
0.7885 0.7885 0.2429
0.3316 0.3316 0.7732
```

- formation energy (eV per atom) = 0.14
- VASP energy (eV/atom) = -4.485
- total moment (Bohr magnetons per cell) = 0.00
- symmetry = No. 8

---

DFT (PBE-GGA) results for a relaxed structure of Nd2GeSbPd6.

```
Nd2GeSbPd6
1.0
5.5685 0.0000 0.0000
0.0000 8.8058 0.0000
0.0000 0.0000 8.6525
Nd Ge Sb Pd
4 2 2 12
direct
0.2500 0.0049 0.2405
0.2500 0.4951 0.2405
0.7500 0.5049 0.7595
0.7500 0.9951 0.7595
0.2500 0.7500 0.7456
0.7500 0.2500 0.2544
0.2500 0.2500 0.7711
0.7500 0.7500 0.2289
0.0017 0.2500 0.4965
0.0029 0.7500 0.9777
0.2500 0.5010 0.6027
0.2500 0.9990 0.6027
0.4971 0.7500 0.9777
0.4983 0.2500 0.4965
0.5017 0.7500 0.5035
0.5029 0.2500 0.0223
0.7500 0.0010 0.3973
0.7500 0.4990 0.3973
0.9971 0.2500 0.0223
0.9983 0.7500 0.5035
```

- formation energy without anion corrections (kcal/mol of atoms) = -16.221
- VASP energy (eV/atom) = -5.647
- total moment (Bohr magnetons per cell) = 0.00
- symmetry = No. 59

---

DFT (PBE-GGA) results for a relaxed structure of Y2AsW.

```
Y2AsW
1.0
1.7807 1.0281 8.9179
-1.7807 1.0281 8.9179
0.0000 -2.0562 8.9179
Y As W
2 1 1
direct
0.0000 0.0000 0.0000
0.2157 0.2157 0.2157
0.7403 0.7403 0.7403
0.4619 0.4619 0.4619
```

- formation energy (eV per atom) = 0.04
- VASP energy (eV/atom) = -7.591
- total moment (Bohr magnetons per cell) = 0.61
- symmetry = No. 160

---

DFT (PBE-GGA) results for a relaxed structure of Li5CeHg6.

```
Li5CeHg6
1.0
4.9119 0.0000 0.0000
0.0000 7.0281 0.0000
-2.4051 0.0000 7.3052
Li Ce Hg
5 1 6
direct
0.0000 0.0000 0.0000
0.3265 0.5000 0.6513
0.3404 0.0000 0.6834
0.6596 0.0000 0.3166
0.6735 0.5000 0.3487
0.0000 0.5000 0.0000
0.1759 0.2276 0.3491
0.1759 0.7724 0.3491
0.5000 0.2231 0.0000
0.5000 0.7769 0.0000
0.8241 0.2276 0.6509
0.8241 0.7724 0.6509
```

- formation energy (eV per atom) = -0.33
- VASP energy (eV/atom) = -1.774
- total moment (Bohr magnetons per cell) = 1.14
- symmetry = No. 10

---

DFT (PBE-GGA) results for a relaxed structure of LaBeW2.

```
LaBeW2
1.0
1.6580 -2.3542 0.0000
1.6580 2.3542 0.0000
0.0000 0.0000 9.1001
La Be W
1 1 2
direct
0.0000 0.0000 0.0000
0.5000 0.5000 0.2774
0.0000 0.0000 0.4683
0.5000 0.5000 0.6991
```

- formation energy (eV per atom) = 0.54
- VASP energy (eV/atom) = -8.103
- total moment (Bohr magnetons per cell) = 0.00
- symmetry = No. 35

---

DFT (PBE-GGA) results for a relaxed structure of ScSn2Pd2.

```
ScSn2Pd2
1.0
-2.1347 2.1347 5.8346
2.1347 -2.1347 5.8346
2.1347 2.1347 -5.8346
Sc Sn Pd
1 2 2
direct
0.0000 0.0000 0.0000
0.3833 0.3833 0.0000
0.6167 0.6167 0.0000
0.2500 0.7500 0.5000
0.7500 0.2500 0.5000
```

- formation energy (eV per atom) = -0.47
- VASP energy (eV/atom) = -5.410
- total moment (Bohr magnetons per cell) = 0.00
- symmetry = No. 139

---

DFT (PBE-GGA) results for a relaxed structure of CsNdNiCl6.

```
CsNdNiCl6
1.0
6.7995 0.0000 0.0000
-3.3997 5.8885 0.0000
0.0000 0.0000 7.7592
Cs Nd Ni Cl
1 1 1 6
direct
0.0000 0.0000 0.0000
0.3333 0.6667 0.5000
0.6667 0.3333 0.5000
0.3902 0.0346 0.6880
0.3902 0.3556 0.3120
0.6444 0.0346 0.3120
0.6444 0.6098 0.6880
0.9654 0.3556 0.6880
0.9654 0.6098 0.3120
```

- formation energy without anion corrections (kcal/mol of atoms) = -37.904
- VASP energy (eV/atom) = -4.142
- total moment (Bohr magnetons per cell) = 2.07
- symmetry = No. 149

---

DFT (PBE-GGA) results for a relaxed structure of Ac2PmRh.

```
Ac2PmRh
1.0
3.7837 0.0000 0.0000
0.0000 3.7837 0.0000
0.0000 0.0000 9.2488
Ac Pm Rh
2 1 1
direct
0.0000 0.0000 0.1909
0.0000 0.0000 0.8091
0.5000 0.5000 0.5000
0.5000 0.5000 0.0000
```

- formation energy (eV per atom) = -0.22
- ΔE to the lowest computed polymorph (eV/atom) = 0.184
- VASP energy (eV/atom) = -5.299
- total moment (Bohr magnetons per cell) = 0.00
- symmetry = No. 123

---

DFT (PBE-GGA) results for a relaxed structure of HgSb3H.

```
HgSb3H
1.0
4.8199 0.0000 0.0000
0.0000 4.8199 0.0000
0.0000 0.0000 4.8199
Hg Sb H
1 3 1
direct
0.0000 0.0000 0.0000
0.0000 0.5000 0.5000
0.5000 0.0000 0.5000
0.5000 0.5000 0.0000
0.5000 0.5000 0.5000
```

- ΔE to the lowest computed polymorph (eV/atom) = 0.000
- VASP energy (eV/atom) = -2.753
- total moment (Bohr magnetons per cell) = 0.00
- symmetry = No. 221

---

DFT (PBE-GGA) results for a relaxed structure of Nb2CoRe2.

```
Nb2CoRe2
1.0
-1.7539 1.7539 7.0822
1.7539 -1.7539 7.0822
1.7539 1.7539 -7.0822
Nb Co Re
2 1 2
direct
0.0922 0.0922 0.0000
0.9078 0.9078 0.0000
0.5000 0.5000 0.0000
0.2500 0.7500 0.5000
0.7500 0.2500 0.5000
```

- formation energy (eV per atom) = 0.72
- ΔE to the lowest computed polymorph (eV/atom) = 0.083
- VASP energy (eV/atom) = -9.711
- total moment (Bohr magnetons per cell) = 0.00
- symmetry = No. 139